[1]
A plane-wave DFT calculation with PBE was carried out for a relaxed structure of PmNp5P6.

Formation energy from the elements ... -95 kJ/mol of atoms

a b c (Å): 6.9058 6.9058 6.9149
angles (deg): 99.59 99.59 120.04
Fractional positions:
1 Pm 0.0000 0.0000 0.0000
2 Np 0.1636 0.8364 0.5000
3 Np 0.3327 0.6673 0.0000
4 Np 0.5000 0.5000 0.5000
5 Np 0.6673 0.3327 0.0000
6 Np 0.8364 0.1636 0.5000
7 P 0.0853 0.4274 0.2554
8 P 0.2581 0.2581 0.7472
9 P 0.4274 0.0853 0.2554
10 P 0.5726 0.9147 0.7446
11 P 0.7419 0.7419 0.2528
12 P 0.9147 0.5726 0.7446


[2]
A plane-wave DFT calculation with PBE was carried out for a relaxed structure of Pu3Co5Se12.

E_form (uncorrected) ... -603 meV per atom

a b c (Å): 13.0800 13.0800 13.0800
angles (deg): 109.47 109.47 109.47
Fractional positions:
1 Pu 0.1250 0.2500 0.3750
2 Pu 0.1250 0.3750 0.7500
3 Pu 0.2500 0.3750 0.1250
4 Pu 0.2500 0.8750 0.6250
5 Pu 0.3750 0.1250 0.2500
6 Pu 0.3750 0.7500 0.1250
7 Pu 0.6250 0.2500 0.8750
8 Pu 0.6250 0.8750 0.7500
9 Pu 0.7500 0.1250 0.3750
10 Pu 0.7500 0.6250 0.8750
11 Pu 0.8750 0.6250 0.2500
12 Pu 0.8750 0.7500 0.6250
13 Co 0.0000 0.0000 0.0000
14 Co 0.0000 0.0000 0.5000
15 Co 0.0000 0.5000 0.0000
16 Co 0.0000 0.5000 0.5000
17 Co 0.1250 0.7500 0.8750
18 Co 0.1250 0.8750 0.2500
19 Co 0.2500 0.1250 0.8750
20 Co 0.2500 0.6250 0.3750
21 Co 0.3750 0.2500 0.6250
22 Co 0.3750 0.6250 0.7500
23 Co 0.5000 0.0000 0.0000
24 Co 0.5000 0.0000 0.5000
25 Co 0.5000 0.5000 0.0000
26 Co 0.5000 0.5000 0.5000
27 Co 0.6250 0.3750 0.2500
28 Co 0.6250 0.7500 0.3750
29 Co 0.7500 0.3750 0.6250
30 Co 0.7500 0.8750 0.1250
31 Co 0.8750 0.1250 0.7500
32 Co 0.8750 0.2500 0.1250
33 Se 0.0260 0.2030 0.1135
34 Se 0.0260 0.3230 0.9124
35 Se 0.0876 0.6135 0.4105
36 Se 0.0876 0.9740 0.6770
37 Se 0.0895 0.7030 0.6770
38 Se 0.0895 0.8865 0.4124
39 Se 0.1135 0.0260 0.2030
40 Se 0.1135 0.5876 0.9105
41 Se 0.1770 0.2030 0.5895
42 Se 0.1770 0.4740 0.5876
43 Se 0.2030 0.1135 0.0260
44 Se 0.2030 0.5895 0.1770
45 Se 0.2970 0.3230 0.9105
46 Se 0.2970 0.4740 0.3865
47 Se 0.3230 0.9105 0.2970
48 Se 0.3230 0.9124 0.0260
49 Se 0.3865 0.2970 0.4740
50 Se 0.3865 0.5895 0.9124
51 Se 0.4105 0.0876 0.6135
52 Se 0.4105 0.8230 0.7970
53 Se 0.4124 0.0895 0.8865
54 Se 0.4124 0.8230 0.5260
55 Se 0.4740 0.3865 0.2970
56 Se 0.4740 0.5876 0.1770
57 Se 0.5260 0.4124 0.8230
58 Se 0.5260 0.6135 0.7030
59 Se 0.5876 0.1770 0.4740
60 Se 0.5876 0.9105 0.1135
61 Se 0.5895 0.1770 0.2030
62 Se 0.5895 0.9124 0.3865
63 Se 0.6135 0.4105 0.0876
64 Se 0.6135 0.7030 0.5260
65 Se 0.6770 0.0876 0.9740
66 Se 0.6770 0.0895 0.7030
67 Se 0.7030 0.5260 0.6135
68 Se 0.7030 0.6770 0.0895
69 Se 0.7970 0.4105 0.8230
70 Se 0.7970 0.8865 0.9740
71 Se 0.8230 0.5260 0.4124
72 Se 0.8230 0.7970 0.4105
73 Se 0.8865 0.4124 0.0895
74 Se 0.8865 0.9740 0.7970
75 Se 0.9105 0.1135 0.5876
76 Se 0.9105 0.2970 0.3230
77 Se 0.9124 0.0260 0.3230
78 Se 0.9124 0.3865 0.5895
79 Se 0.9740 0.6770 0.0876
80 Se 0.9740 0.7970 0.8865


[3]
A plane-wave DFT calculation with PBE was carried out for a relaxed structure of Cs3Ag5I12.

E_form (uncorrected) ... -509 meV per atom

a b c (Å): 16.6629 16.6629 16.6629
angles (deg): 109.47 109.47 109.47
Fractional positions:
1 Cs 0.1250 0.2500 0.3750
2 Cs 0.1250 0.3750 0.7500
3 Cs 0.2500 0.3750 0.1250
4 Cs 0.2500 0.8750 0.6250
5 Cs 0.3750 0.1250 0.2500
6 Cs 0.3750 0.7500 0.1250
7 Cs 0.6250 0.2500 0.8750
8 Cs 0.6250 0.8750 0.7500
9 Cs 0.7500 0.1250 0.3750
10 Cs 0.7500 0.6250 0.8750
11 Cs 0.8750 0.6250 0.2500
12 Cs 0.8750 0.7500 0.6250
13 Ag 0.0000 0.0000 0.0000
14 Ag 0.0000 0.0000 0.5000
15 Ag 0.0000 0.5000 0.0000
16 Ag 0.0000 0.5000 0.5000
17 Ag 0.1250 0.7500 0.8750
18 Ag 0.1250 0.8750 0.2500
19 Ag 0.2500 0.1250 0.8750
20 Ag 0.2500 0.6250 0.3750
21 Ag 0.3750 0.2500 0.6250
22 Ag 0.3750 0.6250 0.7500
23 Ag 0.5000 0.0000 0.0000
24 Ag 0.5000 0.0000 0.5000
25 Ag 0.5000 0.5000 0.0000
26 Ag 0.5000 0.5000 0.5000
27 Ag 0.6250 0.3750 0.2500
28 Ag 0.6250 0.7500 0.3750
29 Ag 0.7500 0.3750 0.6250
30 Ag 0.7500 0.8750 0.1250
31 Ag 0.8750 0.1250 0.7500
32 Ag 0.8750 0.2500 0.1250
33 I 0.0092 0.1874 0.1074
34 I 0.0092 0.3218 0.9018
35 I 0.0801 0.6874 0.6782
36 I 0.0801 0.8926 0.4018
37 I 0.0982 0.6074 0.4199
38 I 0.0982 0.9908 0.6782
39 I 0.1074 0.0092 0.1874
40 I 0.1074 0.5982 0.9199
41 I 0.1782 0.1874 0.5801
42 I 0.1782 0.4908 0.5982
43 I 0.1874 0.1074 0.0092
44 I 0.1874 0.5801 0.1782
45 I 0.3126 0.3218 0.9199
46 I 0.3126 0.4908 0.3926
47 I 0.3218 0.9018 0.0092
48 I 0.3218 0.9199 0.3126
49 I 0.3926 0.3126 0.4908
50 I 0.3926 0.5801 0.9018
51 I 0.4018 0.0801 0.8926
52 I 0.4018 0.8218 0.5092
53 I 0.4199 0.0982 0.6074
54 I 0.4199 0.8218 0.8126
55 I 0.4908 0.3926 0.3126
56 I 0.4908 0.5982 0.1782
57 I 0.5092 0.4018 0.8218
58 I 0.5092 0.6074 0.6874
59 I 0.5801 0.1782 0.1874
60 I 0.5801 0.9018 0.3926
61 I 0.5982 0.1782 0.4908
62 I 0.5982 0.9199 0.1074
63 I 0.6074 0.4199 0.0982
64 I 0.6074 0.6874 0.5092
65 I 0.6782 0.0801 0.6874
66 I 0.6782 0.0982 0.9908
67 I 0.6874 0.5092 0.6074
68 I 0.6874 0.6782 0.0801
69 I 0.8126 0.4199 0.8218
70 I 0.8126 0.8926 0.9908
71 I 0.8218 0.5092 0.4018
72 I 0.8218 0.8126 0.4199
73 I 0.8926 0.4018 0.0801
74 I 0.8926 0.9908 0.8126
75 I 0.9018 0.0092 0.3218
76 I 0.9018 0.3926 0.5801
77 I 0.9199 0.1074 0.5982
78 I 0.9199 0.3126 0.3218
79 I 0.9908 0.6782 0.0982
80 I 0.9908 0.8126 0.8926


[4]
A plane-wave DFT calculation with PBE was carried out for a relaxed structure of TiCoSiRu2.

E_form (uncorrected) ... 1327 meV per atom

a b c (Å): 4.4460 4.4460 4.6385
angles (deg): 90.00 90.00 90.00
Fractional positions:
1 Ti 0.0000 0.0000 0.0000
2 Co 0.5000 0.5000 0.5000
3 Si 0.0000 0.0000 0.5000
4 Ru 0.0000 0.5000 0.0000
5 Ru 0.5000 0.0000 0.0000


no.,total magnetization (μB per formula unit),VASP energy (eV/atom)
1,18.63,-9.473
2,8.57,-6.620
3,0.00,-2.280
4,2.84,-6.468